(1)
A relaxed structure of FeTeAu2, computed with PBE-GGA.

The space group is Cm (No. 8) and the conventional cell measures 8.876, 3.148 and 6.406 Å, with angles of 90.00, 103.71 and 90.00 degrees. The distinct sites, in fractional coordinates, are Fe at (0.000, 0.000, 0.000), Te at (0.360, 0.000, 0.693), Au at (0.005, 0.500, 0.357) and Au at (0.240, 0.500, 0.135).

The value obtained for the electronic total energy is -4.351 eV/atom. The density of states at the Fermi level comes out at 3.0 states/eV/f.u.

***

(2)
A relaxed structure of Fe4TeAu, computed with PBE-GGA.

The space group is F-43m (No. 216) and the conventional cell measures 7.104, 7.104 and 7.104 Å, with angles of 90.00, 90.00 and 90.00 degrees. The distinct sites, in fractional coordinates, are Fe at (0.125, 0.125, 0.125), Te at (0.000, 0.000, 0.500) and Au at (0.250, 0.250, 0.750).

The value obtained for the electronic total energy is -6.416 eV/atom. The density of states at the Fermi level comes out at 3.3 states/eV/f.u.

***

(3)
A relaxed structure of Fe2TeAu, computed with PBE-GGA.

The space group is I-42d (No. 122) and the conventional cell measures 5.492, 5.492 and 13.274 Å, with angles of 90.00, 90.00 and 90.00 degrees. The distinct sites, in fractional coordinates, are Fe at (0.230, 0.250, 0.125), Te at (0.000, 0.000, 0.500) and Au at (0.000, 0.000, 0.000).

The value obtained for the electronic total energy is -5.156 eV/atom. The density of states at the Fermi level comes out at 5.9 states/eV/f.u.

***

(4)
A relaxed structure of FeTeAu2, computed with PBE-GGA.

The space group is Pmmm (No. 47) and the conventional cell measures 3.879, 4.159 and 4.702 Å, with angles of 90.00, 90.00 and 90.00 degrees. The distinct sites, in fractional coordinates, are Fe at (0.000, 0.000, 0.000), Te at (0.500, 0.500, 0.000), Au at (0.000, 0.500, 0.500) and Au at (0.500, 0.000, 0.500).

The value obtained for the electronic total energy is -4.219 eV/atom. The density of states at the Fermi level comes out at 4.5 states/eV/f.u.

***

(5)
A relaxed structure of Fe2TeAu, computed with PBE-GGA.

The space group is Cm (No. 8) and the conventional cell measures 7.932, 3.076 and 6.517 Å, with angles of 90.00, 96.76 and 90.00 degrees. The distinct sites, in fractional coordinates, are Fe at (0.000, 0.000, 0.000), Fe at (0.197, 0.500, 0.857), Te at (0.389, 0.000, 0.640) and Au at (0.302, 0.000, 0.207).

The value obtained for the electronic total energy is -5.576 eV/atom. The density of states at the Fermi level comes out at 2.3 states/eV/f.u.

***

(6)
A relaxed structure of Fe2TeAu2, computed with PBE-GGA.

The space group is P4/mbm (No. 127) and the conventional cell measures 6.695, 6.695 and 3.948 Å, with angles of 90.00, 90.00 and 90.00 degrees. The distinct sites, in fractional coordinates, are Fe at (0.129, 0.371, 0.000), Te at (0.000, 0.000, 0.000) and Au at (0.155, 0.655, 0.500).

The value obtained for the electronic total energy is -5.068 eV/atom. The density of states at the Fermi level comes out at 3.1 states/eV/f.u.

***

(7)
A relaxed structure of FeTe2Au, computed with PBE-GGA.

The space group is R-3m (No. 166, hexagonal axes) and the conventional cell measures 3.7614, 3.7614 and 23.8946 Å, with angles of 90.00, 90.00 and 120.00 degrees. The distinct sites, in fractional coordinates, are Fe at (0.0000, 0.0000, 0.0000), Te at (0.0000, 0.0000, 0.3898) and Au at (0.0000, 0.0000, 0.5000).

The value obtained for the electronic total energy is -4.491 eV/atom. The density of states at the Fermi level comes out at 3.4 states/eV/f.u.

***

(8)
A relaxed structure of FeTe2Au, computed with PBE-GGA.

The space group is F-43m (No. 216) and the conventional cell measures 7.098, 7.098 and 7.098 Å, with angles of 90.00, 90.00 and 90.00 degrees. The distinct sites, in fractional coordinates, are Fe at (0.000, 0.000, 0.000), Te at (0.000, 0.000, 0.500), Te at (0.250, 0.250, 0.250) and Au at (0.250, 0.250, 0.750).

The value obtained for the electronic total energy is -3.850 eV/atom. The density of states at the Fermi level comes out at 5.3 states/eV/f.u.

***

(9)
A relaxed structure of FeTeAu2, computed with PBE-GGA.

The space group is Imm2 (No. 44) and the conventional cell measures 2.952, 4.427 and 12.724 Å, with angles of 90.00, 90.00 and 90.00 degrees. The distinct sites, in fractional coordinates, are Fe at (0.000, 0.000, 0.000), Te at (0.000, 0.500, 0.323), Au at (0.000, 0.000, 0.538) and Au at (0.000, 0.500, 0.682).

The value obtained for the electronic total energy is -4.322 eV/atom. The density of states at the Fermi level comes out at 3.8 states/eV/f.u.

***

(10)
A relaxed structure of Fe2TeAu, computed with PBE-GGA.

The space group is F-43m (No. 216) and the conventional cell measures 6.480, 6.480 and 6.480 Å, with angles of 90.00, 90.00 and 90.00 degrees. The distinct sites, in fractional coordinates, are Fe at (0.000, 0.000, 0.000), Fe at (0.250, 0.250, 0.250), Te at (0.250, 0.250, 0.750) and Au at (0.000, 0.000, 0.500).

The value obtained for the electronic total energy is -5.282 eV/atom. The density of states at the Fermi level comes out at 4.9 states/eV/f.u.

***

(11)
A relaxed structure of FeTe2Au, computed with PBE-GGA.

The space group is P4mm (No. 99) and the conventional cell measures 3.733, 3.733 and 7.362 Å, with angles of 90.00, 90.00 and 90.00 degrees. The distinct sites, in fractional coordinates, are Fe at (0.000, 0.000, 0.000), Te at (0.000, 0.000, 0.639), Te at (0.500, 0.500, 0.156) and Au at (0.500, 0.500, 0.782).

The value obtained for the electronic total energy is -4.309 eV/atom. The density of states at the Fermi level comes out at 5.0 states/eV/f.u.

***

(12)
A relaxed structure of FeTe2Au, computed with PBE-GGA.

The space group is P4/mmm (No. 123) and the conventional cell measures 4.894, 4.894 and 3.595 Å, with angles of 90.00, 90.00 and 90.00 degrees. The distinct sites, in fractional coordinates, are Fe at (0.000, 0.000, 0.000), Te at (0.000, 0.500, 0.500) and Au at (0.500, 0.500, 0.000).

The value obtained for the electronic total energy is -4.006 eV/atom. The density of states at the Fermi level comes out at 3.9 states/eV/f.u.

***

(13)
A relaxed structure of FeTe2Au, computed with PBE-GGA.

The space group is C2/m (No. 12) and the conventional cell measures 6.174, 7.923 and 4.867 Å, with angles of 90.00, 125.23 and 90.00 degrees. The distinct sites, in fractional coordinates, are Fe at (0.000, 0.000, 0.000), Te at (0.250, 0.250, 0.500) and Au at (0.000, 0.500, 0.000).

The value obtained for the electronic total energy is -4.167 eV/atom. The density of states at the Fermi level comes out at 5.2 states/eV/f.u.

***

(14)
A relaxed structure of Fe2TeAu, computed with PBE-GGA.

The space group is C2/m (No. 12) and the conventional cell measures 8.736, 4.114 and 5.882 Å, with angles of 90.00, 132.24 and 90.00 degrees. The distinct sites, in fractional coordinates, are Fe at (0.145, 0.000, 0.388), Te at (0.000, 0.500, 0.000) and Au at (0.000, 0.500, 0.500).

The value obtained for the electronic total energy is -5.497 eV/atom. The density of states at the Fermi level comes out at 2.8 states/eV/f.u.

***

(15)
A relaxed structure of FeTeAu2, computed with PBE-GGA.

The space group is Immm (No. 71) and the conventional cell measures 3.089, 4.271 and 11.795 Å, with angles of 90.00, 90.00 and 90.00 degrees. The distinct sites, in fractional coordinates, are Fe at (0.000, 0.000, 0.000), Te at (0.000, 0.000, 0.500) and Au at (0.000, 0.500, 0.303).

The value obtained for the electronic total energy is -4.257 eV/atom. The density of states at the Fermi level comes out at 3.4 states/eV/f.u.

***

(16)
A relaxed structure of FeTeAu2, computed with PBE-GGA.

The space group is F-43m (No. 216) and the conventional cell measures 6.748, 6.748 and 6.748 Å, with angles of 90.00, 90.00 and 90.00 degrees. The distinct sites, in fractional coordinates, are Fe at (0.000, 0.000, 0.000), Te at (0.250, 0.250, 0.250), Au at (0.000, 0.000, 0.500) and Au at (0.250, 0.250, 0.750).

The value obtained for the electronic total energy is -4.168 eV/atom. The density of states at the Fermi level comes out at 4.7 states/eV/f.u.

***

(17)
A relaxed structure of Fe2TeAu, computed with PBE-GGA.

The space group is R3m (No. 160, hexagonal axes) and the conventional cell measures 3.0914, 3.0914 and 26.1033 Å, with angles of 90.00, 90.00 and 120.00 degrees. The distinct sites, in fractional coordinates, are Fe at (0.0000, 0.0000, 0.0000), Fe at (0.0000, 0.0000, 0.2694), Te at (0.0000, 0.0000, 0.7431) and Au at (0.0000, 0.0000, 0.5251).

The value obtained for the electronic total energy is -5.500 eV/atom. The density of states at the Fermi level comes out at 2.4 states/eV/f.u.

***

(18)
A relaxed structure of Fe2TeAu, computed with PBE-GGA.

The space group is P4mm (No. 99) and the conventional cell measures 3.162, 3.162 and 7.017 Å, with angles of 90.00, 90.00 and 90.00 degrees. The distinct sites, in fractional coordinates, are Fe at (0.000, 0.000, 0.000), Fe at (0.500, 0.500, 0.175), Te at (0.000, 0.000, 0.397) and Au at (0.500, 0.500, 0.779).

The value obtained for the electronic total energy is -5.607 eV/atom. The density of states at the Fermi level comes out at 3.2 states/eV/f.u.

***

(19)
A relaxed structure of FeTeAu2, computed with PBE-GGA.

The space group is R3m (No. 160, hexagonal axes) and the conventional cell measures 3.2878, 3.2878 and 25.2013 Å, with angles of 90.00, 90.00 and 120.00 degrees. The distinct sites, in fractional coordinates, are Fe at (0.0000, 0.0000, 0.0000), Te at (0.0000, 0.0000, 0.2630), Au at (0.0000, 0.0000, 0.4913) and Au at (0.0000, 0.0000, 0.7401).

The value obtained for the electronic total energy is -4.285 eV/atom. The density of states at the Fermi level comes out at 3.1 states/eV/f.u.

***

(20)
A relaxed structure of FeTeAu2, computed with PBE-GGA.

The space group is Pm (No. 6) and the conventional cell measures 3.046, 3.706 and 7.160 Å, with angles of 90.00, 90.35 and 90.00 degrees. The distinct sites, in fractional coordinates, are Fe at (0.000, 0.000, 0.000), Te at (0.993, 0.500, 0.277), Au at (0.499, 0.500, 0.826) and Au at (0.998, 0.000, 0.603).

The value obtained for the electronic total energy is -4.345 eV/atom. The density of states at the Fermi level comes out at 2.9 states/eV/f.u.

***

Computed formation energy without anion corrections (kJ/mol of formula units) in order:
72.8, 171.3, 262.4, 123.8, 100.4, 123.7, 5.7, 253.2, 83.9, 214.0, 75.8, 193.0, 130.6, 131.1, 109.3, 143.6, 129.6, 88.3, 98.4, 75.0